DFT (PBE) results for an optimized crystal structure of La3ZrH.

Values from the calculation:
final energy = -4.469 eV per atom
N(E_F) = 1.8755 states/eV per atom
distance to the lowest polymorph of the same formula = 0.899 eV per atom

Cell: 5.7638 5.7638 5.7638 Å, 90.00 90.00 90.00°
Fractional positions:
La 0.0000 0.0000 0.5000
La 0.0000 0.5000 0.0000
La 0.5000 0.0000 0.0000
Zr 0.0000 0.0000 0.0000
H 0.5000 0.5000 0.5000